No. 1
A relaxed structure of Dy12Y7Mg. Source: Alexandria, functional PBE.

**Energy of formation**: 16.8 eV/f.u.
**Total magnetic moment**: 0.00 μB/f.u.
**Fermi-level density of states**: 1.634 states/eV/atom

Unit cell a=10.417 b=10.417 c=10.417 alpha=109.47 beta=109.47 gamma=109.47
Sites, in units of the cell vectors:
Dy  0.096  0.738  0.359
Dy  0.262  0.359  0.621
Dy  0.262  0.641  0.904
Dy  0.359  0.096  0.738
Dy  0.359  0.621  0.262
Dy  0.379  0.738  0.641
Dy  0.621  0.262  0.359
Dy  0.641  0.379  0.738
Dy  0.641  0.904  0.262
Dy  0.738  0.359  0.096
Dy  0.738  0.641  0.379
Dy  0.904  0.262  0.641
Y  0.000  0.000  0.500
Y  0.000  0.500  0.000
Y  0.000  0.500  0.500
Y  0.500  0.000  0.000
Y  0.500  0.000  0.500
Y  0.500  0.500  0.000
Y  0.500  0.500  0.500
Mg  0.000  0.000  0.000

---

No. 2
A relaxed structure of Dy6Y5Mg. Source: Alexandria, functional PBE.

**Energy of formation**: 0.3 eV/f.u.
**Total magnetic moment**: 0.00 μB/f.u.
**Fermi-level density of states**: 1.532 states/eV/atom

Unit cell a=9.347 b=9.347 c=9.347 alpha=148.97 beta=115.32 gamma=73.46
Sites, in units of the cell vectors:
Dy  0.081  0.833  0.248
Dy  0.250  0.500  0.750
Dy  0.416  0.167  0.248
Dy  0.584  0.833  0.752
Dy  0.750  0.500  0.250
Dy  0.919  0.167  0.752
Y  0.166  0.666  0.500
Y  0.334  0.334  0.000
Y  0.500  0.000  0.500
Y  0.666  0.666  0.000
Y  0.834  0.334  0.500
Mg  0.000  0.000  0.000

---

No. 3
A relaxed structure of DyY3Mg2. Source: Alexandria, functional PBE.

**Energy of formation**: -0.3 eV/f.u.
**Total magnetic moment**: 0.04 μB/f.u.
**Fermi-level density of states**: 1.421 states/eV/atom

Unit cell a=3.674 b=3.674 c=12.941 alpha=90.00 beta=90.00 gamma=90.00
Sites, in units of the cell vectors:
Dy  0.000  0.000  0.000
Y  0.500  0.500  0.188
Y  0.500  0.500  0.500
Y  0.500  0.500  0.812
Mg  0.000  0.000  0.346
Mg  0.000  0.000  0.654